[1]
Computed, not measured: crystalline Sr3MoC at its relaxed geometry at the GGA-PBEsol level of DFT.

Summary:
* electronic total energy: -21.30 eV/f.u.
* formation enthalpy at 0 K: 1.13 eV per atom
* magnetization: 5.37 μB/cell

```
data_Sr3MoC
_space_group_name_H-M_alt 'P m -3 m'
_space_group_IT_number 221
_space_group_name_Hall '-P 4 2 3'
_cell_length_a 5.350
_cell_length_b 5.350
_cell_length_c 5.350
_cell_angle_alpha 90.00
_cell_angle_beta 90.00
_cell_angle_gamma 90.00
loop_
_atom_site_label
_atom_site_type_symbol
_atom_site_fract_x
_atom_site_fract_y
_atom_site_fract_z
Sr1 Sr 0.000 0.000 0.500
Mo1 Mo 0.500 0.500 0.500
C1 C 0.000 0.000 0.000
```



[2]
Computed, not measured: crystalline TlIr2PtO at its relaxed geometry at the GGA-PBEsol level of DFT.

Summary:
* electronic total energy: -24.16 eV/f.u.
* magnetization: 2.35 μB/cell
* uncorrected formation energy: 2066 meV/atom

```
data_TlIr2PtO
_space_group_name_H-M_alt 'P 4/m m m'
_space_group_IT_number 123
_space_group_name_Hall '-P 4 2'
_cell_length_a 4.733
_cell_length_b 4.733
_cell_length_c 5.225
_cell_angle_alpha 90.00
_cell_angle_beta 90.00
_cell_angle_gamma 90.00
loop_
_atom_site_label
_atom_site_type_symbol
_atom_site_fract_x
_atom_site_fract_y
_atom_site_fract_z
Tl1 Tl 0.000 0.000 0.000
Ir1 Ir 0.000 0.500 0.500
Pt1 Pt 0.000 0.000 0.500
O1 O 0.500 0.500 0.000
```



[3]
Computed, not measured: crystalline MgB2H13N3 at its relaxed geometry at the GGA-PBEsol level of DFT.

Summary:
* electronic total energy: -91.76 eV/f.u.
* magnetization: 0.00 μB/cell

```
data_MgB2H13N3
_space_group_name_H-M_alt 'P 1 21/c 1'
_space_group_IT_number 14
_cell_length_a 7.859
_cell_length_b 8.908
_cell_length_c 8.442
_cell_angle_alpha 90.00
_cell_angle_beta 95.24
_cell_angle_gamma 90.00
loop_
_space_group_symop_operation_xyz
'x,y,z'
'-x,-y,-z'
'-x,y+1/2,-z+1/2'
'x,-y+1/2,z+1/2'
loop_
_atom_site_label
_atom_site_type_symbol
_atom_site_fract_x
_atom_site_fract_y
_atom_site_fract_z
Mg1 Mg 0.213 0.065 0.266
B1 B 0.146 0.738 0.239
B2 B 0.291 0.225 0.954
H1 H 0.024 0.656 0.188
H2 H 0.041 0.107 0.684
H3 H 0.046 0.140 0.989
H4 H 0.108 0.650 0.957
H5 H 0.184 0.006 0.963
H6 H 0.214 0.721 0.619
H7 H 0.249 0.659 0.320
H8 H 0.255 0.147 0.500
H9 H 0.280 0.221 0.805
H10 H 0.439 0.574 0.224
H11 H 0.443 0.202 0.998
H12 H 0.488 0.575 0.679
H13 H 0.489 0.079 0.628
N1 N 0.088 0.627 0.837
N2 N 0.170 0.108 0.020
N3 N 0.471 0.510 0.778
```



[4]
Computed, not measured: crystalline AlGeAsSe2 at its relaxed geometry at the GGA-PBEsol level of DFT.

Summary:
* electronic total energy: -20.51 eV/f.u.
* magnetization: 0.00 μB/cell
* uncorrected formation energy: 265 meV/atom

```
data_AlGeAsSe2
_space_group_name_H-M_alt 'P 4/m m m'
_space_group_IT_number 123
_space_group_name_Hall '-P 4 2'
_cell_length_a 4.825
_cell_length_b 4.825
_cell_length_c 4.774
_cell_angle_alpha 90.00
_cell_angle_beta 90.00
_cell_angle_gamma 90.00
loop_
_atom_site_label
_atom_site_type_symbol
_atom_site_fract_x
_atom_site_fract_y
_atom_site_fract_z
Al1 Al 0.000 0.000 0.000
Ge1 Ge 0.500 0.500 0.500
As1 As 0.000 0.000 0.500
Se1 Se 0.000 0.500 0.000
```